A plane-wave DFT calculation with PBE-GGA was carried out for crystalline CePm5Bi4 at its relaxed geometry.

## Properties
E_form: -5.253 eV per formula unit
space group: C2/m
M_tot: 0.99 μB per formula unit

POSCAR file:
```
CePm5Bi4
1.0
9.7401 -2.2503 0.0000
9.7401 2.2503 0.0000
-2.3931 0.0000 8.4399
Ce Pm Bi
1 5 4
Cartesian
0.0000 0.0000 0.0000
-1.1965 0.0000 4.2200
4.6796 0.0000 5.4833
6.1451 0.0000 1.5388
10.9419 0.0000 6.9011
12.4074 0.0000 2.9566
3.1026 0.0000 0.7140
7.7669 0.0000 6.2622
9.3201 0.0000 2.1777
13.9844 0.0000 7.7259
```